Version i
First-principles (GGA-PBE) data for a relaxed PmY2Tm crystal, as listed in the Alexandria database.

Cell: 3.5679 3.5679 10.1302 Å, 90.00 90.00 90.00°
Closest atoms and distances in Å follow each position.
Element x y z (fractional)
1 Pm 0.0000 0.0000 0.0000  4 Pm 3.57, 8 Y 3.61
2 Y 0.5000 0.5000 0.2550  4 Tm 3.54, 4 Y 3.57, 4 Pm 3.61
3 Y 0.5000 0.5000 0.7450  4 Tm 3.54, 4 Y 3.57, 4 Pm 3.61
4 Tm 0.0000 0.0000 0.5000  8 Y 3.54, 4 Tm 3.57

## Properties
SG   P4/mmm (123)

Version ii
First-principles (GGA-PBE) data for a relaxed PmY2Tm crystal, as listed in the Alexandria database.

Cell: 11.7171 11.7171 11.7171 Å, 17.65 17.65 17.65°
Closest atoms and distances in Å follow each position.
Element x y z (fractional)
1 Pm 0.0000 0.0000 0.0000  6 Y 3.58-3.61, 6 Pm 3.60
2 Y 0.2491 0.2491 0.2491  3 Tm 3.51, 3 Pm 3.58, 6 Y 3.60
3 Y 0.4187 0.4187 0.4187  3 Tm 3.52, 6 Y 3.60, 3 Pm 3.61
4 Tm 0.8341 0.8341 0.8341  6 Y 3.51-3.52, 6 Tm 3.60

## Properties
SG   R3m (160)

Tell me which of them is the least stable. Sure, it is version i.

Version i
First-principles (GGA-PBE) data for a relaxed Pm3Y5Tm2 crystal, as listed in the Alexandria database.

Cell: 9.6642 9.6642 9.3760 Å, 108.58 108.58 112.27°
Closest atoms and distances in Å follow each position.
Element x y z (fractional)
1 Pm 0.0185 0.2696 0.0455  1 Tm 3.14, 4 Y 3.29-3.49, 1 Pm 3.51
2 Pm 0.2304 0.7696 0.7500  3 Y 3.29-3.62, 4 Tm 3.30-3.55, 2 Pm 3.51
3 Pm 0.2696 0.0185 0.5455  1 Tm 3.14, 4 Y 3.29-3.49, 1 Pm 3.51
4 Pm 0.7304 0.9815 0.4545  1 Tm 3.14, 4 Y 3.29-3.49, 1 Pm 3.51
5 Pm 0.7696 0.2304 0.2500  3 Y 3.29-3.62, 4 Tm 3.30-3.55, 2 Pm 3.51
6 Pm 0.9815 0.7304 0.9545  1 Tm 3.14, 4 Y 3.29-3.49, 1 Pm 3.51
7 Y 0.0255 0.9745 0.7500  5 Pm 3.29-3.47, 2 Tm 3.44, 2 Y 3.56
8 Y 0.1424 0.3779 0.7668  2 Tm 3.47-3.57, 3 Pm 3.49-3.62, 3 Y 3.56-3.69
9 Y 0.2739 0.7261 0.2500  1 Y 3.18, 4 Pm 3.29-3.55
10 Y 0.3779 0.1424 0.2668  2 Tm 3.47-3.57, 3 Pm 3.49-3.62, 3 Y 3.56-3.69
11 Y 0.4719 0.5281 0.2500  3 Y 3.18-3.56, 4 Tm 3.30-3.48, 2 Pm 3.52
12 Y 0.5281 0.4719 0.7500  3 Y 3.18-3.56, 4 Tm 3.30-3.48, 2 Pm 3.52
13 Y 0.6221 0.8576 0.7332  2 Tm 3.47-3.57, 3 Pm 3.49-3.62, 3 Y 3.56-3.69
14 Y 0.7261 0.2739 0.7500  1 Y 3.18, 4 Pm 3.29-3.55
15 Y 0.8576 0.6221 0.2332  2 Tm 3.47-3.57, 3 Pm 3.49-3.62, 3 Y 3.56-3.69
16 Y 0.9745 0.0255 0.2500  5 Pm 3.29-3.47, 2 Tm 3.44, 2 Y 3.56
17 Tm 0.2277 0.4689 0.4536  2 Pm 3.14-3.30, 4 Y 3.30-3.48
18 Tm 0.4689 0.2277 0.9536  2 Pm 3.14-3.30, 4 Y 3.30-3.48
19 Tm 0.5311 0.7723 0.0464  2 Pm 3.14-3.30, 4 Y 3.30-3.48
20 Tm 0.7723 0.5311 0.5464  2 Pm 3.14-3.30, 4 Y 3.30-3.48

## Properties
SG   C2/c (15)

Version ii
First-principles (GGA-PBE) data for a relaxed Pm3Y5Tm2 crystal, as listed in the Alexandria database.

Cell: 11.1237 11.1237 11.1237 Å, 108.74 80.78 147.03°
Closest atoms and distances in Å follow each position.
Element x y z (fractional)
1 Pm 0.2472 0.1597 0.4069  4 Y 3.50-3.70, 4 Tm 3.53-3.70
2 Pm 0.2500 0.2500 0.0000  2 Pm 3.16, 2 Y 3.25, 4 Tm 3.33
3 Pm 0.2528 0.6597 0.9125  4 Y 3.50-3.70, 4 Tm 3.53-3.70
4 Pm 0.7472 0.3403 0.0875  4 Y 3.50-3.70, 4 Tm 3.53-3.70
5 Pm 0.7500 0.7500 0.0000  2 Pm 3.16, 2 Y 3.25, 4 Tm 3.33
6 Pm 0.7528 0.8403 0.5931  4 Y 3.50-3.70, 4 Tm 3.53-3.70
7 Y 0.1575 0.4027 0.5601  1 Tm 3.17, 2 Y 3.35, 1 Pm 3.50
8 Y 0.2500 0.5008 0.2508  3 Y 3.16-3.23, 1 Pm 3.25
9 Y 0.2500 0.7500 0.5000  8 Y 3.16-3.35
10 Y 0.2500 0.9992 0.7492  3 Y 3.16-3.23, 1 Pm 3.25
11 Y 0.3425 0.9027 0.2452  1 Tm 3.17, 2 Y 3.35, 1 Pm 3.50
12 Y 0.6575 0.0973 0.7548  1 Tm 3.17, 2 Y 3.35, 1 Pm 3.50
13 Y 0.7500 0.0008 0.2508  3 Y 3.16-3.23, 1 Pm 3.25
14 Y 0.7500 0.2500 0.5000  8 Y 3.16-3.35
15 Y 0.7500 0.4992 0.7492  3 Y 3.16-3.23, 1 Pm 3.25
16 Y 0.8425 0.5973 0.4399  1 Tm 3.17, 2 Y 3.35, 1 Pm 3.50
17 Tm 0.1556 0.9003 0.0559  1 Y 3.17, 3 Pm 3.33-3.53
18 Tm 0.3444 0.4003 0.7447  1 Y 3.17, 3 Pm 3.33-3.53
19 Tm 0.6556 0.5997 0.2553  1 Y 3.17, 3 Pm 3.33-3.53
20 Tm 0.8444 0.0997 0.9441  1 Y 3.17, 3 Pm 3.33-3.53

## Properties
SG   Ibam (72)

Tell me which of them is the least stable. Sure, it is version ii.